Material: Ce2PbCl
Method: DFT, PBE
State: relaxed

Cell and atoms, written as POSCAR:
```
Ce2PbCl
1.0
3.599 0.000 0.000
0.000 3.599 0.000
0.000 0.000 8.167
Ce Cl Pb
2 1 1
direct
0.000 0.000 0.233
0.000 0.000 0.767
0.500 0.500 0.000
0.500 0.500 0.500
```

space-group type	P4/mmm
M_tot	0.818	μB per atom
ΔE_f (raw)	-762	meV per atom
VASP energy	-5.1174	eV/atom
distance to the lowest polymorph of the same formula	124	meV/atom
DOS(E_F)	3.3503	states/eV per atom

=====

Material: CePb2Cl8
Method: DFT, PBE
State: relaxed

Cell and atoms, written as POSCAR:
```
CePb2Cl8
1.0
-2.060 6.237 -0.426
-7.857 -0.047 1.384
-1.064 2.612 7.463
Cl Pb Ce
8 2 1
direct
0.825 0.419 0.419
0.745 0.329 0.946
0.255 0.671 0.054
0.241 0.122 0.122
0.745 0.946 0.329
0.255 0.054 0.671
0.759 0.878 0.878
0.175 0.581 0.581
0.263 0.349 0.349
0.737 0.651 0.651
0.000 0.000 0.000
```

space-group type	C2/m
M_tot	0.000	μB per atom
ΔE_f (raw)	-1495	meV per atom
VASP energy	-4.0521	eV/atom
distance to the lowest polymorph of the same formula	0	meV/atom

=====

Material: CePbCl2
Method: DFT, PBE
State: relaxed

Cell and atoms, written as POSCAR:
```
CePbCl2
1.0
3.617 0.000 0.000
1.808 3.132 0.000
1.808 1.044 10.291
Pb Ce Cl
1 1 2
direct
0.000 0.000 0.000
0.500 0.500 0.500
0.896 0.896 0.311
0.104 0.104 0.689
```

space-group type	R-3m
M_tot	0.292	μB per atom
ΔE_f (raw)	-1264	meV per atom
VASP energy	-4.5983	eV/atom
DOS(E_F)	1.3737	states/eV per atom

=====

Material: Ce2PbCl
Method: DFT, PBE
State: relaxed

Cell and atoms, written as POSCAR:
```
Ce2PbCl
1.0
-2.224 1.989 -3.332
1.650 -0.088 -4.157
-3.445 -4.971 -3.669
Pb Ce Cl
1 2 1
direct
0.500 0.500 0.500
0.260 0.260 0.219
0.740 0.740 0.781
0.000 0.000 0.000
```

space-group type	R-3m
M_tot	0.522	μB per atom
ΔE_f (raw)	-886	meV per atom
VASP energy	-5.2418	eV/atom
distance to the lowest polymorph of the same formula	0	meV/atom
DOS(E_F)	2.8460	states/eV per atom

=====

Material: CePbCl6
Method: DFT, PBE
State: relaxed

Cell and atoms, written as POSCAR:
```
CePbCl6
1.0
-3.348 5.823 -1.616
-4.760 -0.031 -5.006
-7.205 0.532 2.082
Cl Ce Pb
6 1 1
direct
0.394 0.768 0.761
0.606 0.232 0.239
0.077 0.394 0.761
0.923 0.606 0.239
0.768 0.077 0.761
0.232 0.923 0.239
0.000 0.000 0.000
0.500 0.500 0.500
```

space-group type	R-3
M_tot	0.000	μB per atom
ΔE_f (raw)	-1641	meV per atom
VASP energy	-4.2315	eV/atom

=====

Material: RbCePb2Cl8
Method: DFT, PBE
State: relaxed

Cell and atoms, written as POSCAR:
```
RbCePb2Cl8
1.0
-1.935 -6.073 2.776
5.905 -0.574 3.108
-3.376 4.379 7.224
Cl Pb Rb Ce
8 2 1 1
direct
0.164 0.763 0.217
0.836 0.237 0.217
0.164 0.763 0.783
0.836 0.237 0.783
0.372 0.279 0.500
0.628 0.721 0.500
0.319 0.253 0.000
0.681 0.747 0.000
0.500 0.500 0.253
0.500 0.500 0.747
0.000 0.000 0.500
0.000 0.000 0.000
```

space-group type	P2/m
M_tot	0.083	μB per atom
ΔE_f (raw)	-1634	meV per atom
VASP energy	-4.0585	eV/atom
DOS(E_F)	0.6620	states/eV per atom

=====

Material: RbCePbCl6
Method: DFT, PBE
State: relaxed

Cell and atoms, written as POSCAR:
```
RbCePbCl6
1.0
7.511 0.000 0.000
-3.755 6.504 0.000
0.000 0.000 13.977
Cl Ce Rb Pb
12 2 2 2
direct
0.624 0.986 0.862
0.638 0.014 0.362
0.986 0.624 0.362
0.638 0.624 0.138
0.014 0.376 0.638
0.376 0.014 0.138
0.376 0.362 0.362
0.362 0.376 0.862
0.986 0.362 0.138
0.362 0.986 0.638
0.624 0.638 0.638
0.014 0.638 0.862
0.333 0.667 0.750
0.667 0.333 0.250
0.000 0.000 0.000
0.000 0.000 0.500
0.667 0.333 0.750
0.333 0.667 0.250
```

space-group type	P-31c
M_tot	0.111	μB per atom
ΔE_f (raw)	-1833	meV per atom
VASP energy	-4.2427	eV/atom
DOS(E_F)	0.9052	states/eV per atom

=====

Material: CeTl2PbCl8
Method: DFT, PBE
State: relaxed

Cell and atoms, written as POSCAR:
```
CeTl2PbCl8
1.0
7.276 -0.120 -0.004
-0.127 6.886 -0.008
0.004 0.010 8.771
Ce Cl Tl Pb
1 8 2 1
direct
0.000 0.000 0.000
0.134 0.785 0.227
0.687 0.745 0.500
0.866 0.215 0.227
0.866 0.215 0.773
0.134 0.785 0.773
0.302 0.212 0.000
0.313 0.255 0.500
0.698 0.788 0.000
0.500 0.500 0.744
0.500 0.500 0.256
0.000 0.000 0.500
```

space-group type	P2/m
M_tot	0.000	μB per atom
ΔE_f (raw)	-1443	meV per atom
VASP energy	-3.8722	eV/atom

=====

Material: CeTlPb2Cl8
Method: DFT, PBE
State: relaxed

Cell and atoms, written as POSCAR:
```
CeTlPb2Cl8
1.0
-0.078 6.151 3.239
-6.685 -0.059 0.119
0.182 -4.206 7.992
Cl Tl Pb Ce
8 1 2 1
direct
0.833 0.232 0.220
0.833 0.232 0.780
0.683 0.743 0.000
0.359 0.283 0.500
0.167 0.768 0.780
0.167 0.768 0.220
0.641 0.717 0.500
0.317 0.257 0.000
0.000 0.000 0.500
0.500 0.500 0.746
0.500 0.500 0.254
0.000 0.000 0.000
```

space-group type	P2/m
M_tot	0.083	μB per atom
ΔE_f (raw)	-1476	meV per atom
VASP energy	-4.0169	eV/atom
DOS(E_F)	0.6674	states/eV per atom

=====

Material: CePd2Cl6
Method: DFT, PBE
State: relaxed

Cell and atoms, written as POSCAR:
```
CePd2Cl6
1.0
6.584 -0.084 -0.081
1.812 9.312 -0.065
1.812 0.237 9.310
Cl Pd Ce
12 4 2
direct
0.147 0.829 0.953
0.511 0.677 0.554
0.804 0.925 0.370
0.647 0.953 0.829
0.853 0.171 0.047
0.304 0.370 0.925
0.011 0.554 0.677
0.989 0.446 0.323
0.696 0.630 0.075
0.353 0.047 0.171
0.489 0.323 0.446
0.196 0.075 0.630
0.859 0.723 0.522
0.141 0.277 0.478
0.641 0.478 0.277
0.359 0.522 0.723
0.750 0.898 0.102
0.250 0.102 0.898
```

space-group type	C2/c
M_tot	0.051	μB per atom
ΔE_f (raw)	-1027	meV per atom
VASP energy	-4.0718	eV/atom
DOS(E_F)	1.0624	states/eV per atom

=====

Material: Ce2PdCl
Method: DFT, PBE
State: relaxed

Cell and atoms, written as POSCAR:
```
Ce2PdCl
1.0
-2.147 2.845 -2.081
-3.652 -0.975 -1.659
-5.099 2.519 4.611
Ce Pd Cl
2 1 1
direct
0.252 0.252 0.244
0.748 0.748 0.756
0.000 0.000 0.000
0.500 0.500 0.500
```

space-group type	R-3m
M_tot	0.518	μB per atom
ΔE_f (raw)	-962	meV per atom
VASP energy	-5.6887	eV/atom
distance to the lowest polymorph of the same formula	0	meV/atom
DOS(E_F)	3.2231	states/eV per atom

=====

Material: Ce2PdCl
Method: DFT, PBE
State: relaxed

Cell and atoms, written as POSCAR:
```
Ce2PdCl
1.0
-3.392 -1.993 -0.259
-0.774 -2.167 -3.202
1.997 -7.590 2.226
Pd Ce Cl
1 2 1
direct
0.667 0.667 0.000
0.258 0.258 0.227
0.075 0.075 0.774
0.500 0.500 0.500
```

space-group type	R3m
M_tot	0.647	μB per atom
ΔE_f (raw)	-928	meV per atom
VASP energy	-5.6551	eV/atom
distance to the lowest polymorph of the same formula	34	meV/atom
DOS(E_F)	2.8961	states/eV per atom

=====

Q: VASP energy of number 5 (CePbCl6)?
A: -4.2315 eV/atom

=====

Q: The highest VASP energy belongs to which entry?
A: CeTl2PbCl8